Zn2NiAs PBE-GGA relaxed; N(E_F) = 7.69 states/eV per cell; energy relative to the elements = 78 meV/atom
1.0
3.714 0.000 0.000
0.000 3.714 0.000
0.000 0.000 17.890
Zn Ni As
8 4 4
Cartesian
0.853 0.928 2.236 Zn
0.928 2.710 6.709 Zn
0.928 2.861 15.654 Zn
1.004 0.928 11.181 Zn
2.710 2.785 11.181 Zn
2.785 0.853 15.654 Zn
2.785 1.004 6.709 Zn
2.861 2.785 2.236 Zn
0.000 0.000 0.000 Ni
0.000 1.857 4.473 Ni
1.857 0.000 13.418 Ni
1.857 1.857 8.945 Ni
0.000 0.000 8.945 As
0.000 1.857 13.418 As
1.857 0.000 4.473 As
1.857 1.857 0.000 As

---

Nd2GaCo2Ni5 PBE-GGA relaxed; N(E_F) = 24.28 states/eV per cell; energy relative to the elements = -125 meV/atom
1.0
8.920 0.000 0.000
0.000 8.920 0.000
0.000 0.000 3.782
Nd Ga Co Ni
4 2 4 10
Cartesian
1.631 2.829 0.000 Nd
2.829 7.289 0.000 Nd
6.091 1.631 0.000 Nd
7.289 6.091 0.000 Nd
0.000 0.000 0.000 Ga
4.460 4.460 0.000 Ga
1.014 5.475 0.000 Co
3.446 1.014 0.000 Co
5.475 7.906 0.000 Co
7.906 3.446 0.000 Co
0.000 4.460 1.891 Ni
0.514 7.068 1.891 Ni
1.852 0.514 1.891 Ni
2.608 4.974 1.891 Ni
3.946 2.608 1.891 Ni
4.460 0.000 1.891 Ni
4.974 6.312 1.891 Ni
6.312 3.946 1.891 Ni
7.068 8.406 1.891 Ni
8.406 1.852 1.891 Ni

---

Rb2PuNiS4 PBE-GGA relaxed; N(E_F) = 21.85 states/eV per cell; uncorrected formation energy = -0.88 eV/atom
1.0
0.000 6.996 12.441
3.037 0.000 12.441
3.037 6.996 0.000
Rb Pu Ni S
4 2 2 8
Cartesian
2.278 5.247 1.385 Rb
3.796 8.745 7.605 Rb
2.278 5.247 17.278 Rb
3.796 8.745 23.498 Rb
0.759 1.749 3.110 Pu
5.315 12.243 21.773 Pu
2.278 5.247 9.331 Ni
3.796 8.745 15.552 Ni
3.587 3.881 8.086 S
3.587 6.613 10.576 S
5.105 7.379 16.797 S
5.105 10.111 14.307 S
0.969 3.881 10.576 S
0.969 6.613 8.086 S
2.487 7.379 14.307 S
2.487 10.111 16.797 S

---

Li3Pa3RuS8 PBE-GGA relaxed; N(E_F) = 13.60 states/eV per cell; uncorrected formation energy = -1.31 eV/atom
1.0
3.697 2.134 6.481
-3.697 2.134 6.481
0.000 -4.269 6.481
Li Pa Ru S
3 3 1 8
Cartesian
-1.848 -1.067 6.481 Li
-1.848 1.067 12.962 Li
0.000 2.134 6.481 Li
-3.697 0.000 9.721 Pa
-1.848 1.067 3.240 Pa
1.848 1.067 3.240 Pa
0.000 0.000 9.721 Ru
0.000 0.000 4.989 S
0.000 -1.936 8.164 S
-1.677 0.968 8.164 S
-1.677 -0.968 11.279 S
1.677 0.968 8.164 S
1.677 -0.968 11.279 S
0.000 1.936 11.279 S
0.000 0.000 14.454 S

---

| no. | size of the total moment (μB per formula unit) | E (eV per atom) | ρ (g/cm3) |
| --- | --- | --- | --- |
| 1 | 0.00 | -3.166 | 7.12 |
| 2 | 2.48 | -5.693 | 8.49 |
| 3 | 1.96 | -5.699 | 3.78 |
| 4 | 4.06 | -6.415 | 5.80 |